(1)
A relaxed Tb2TmBi3 crystal. Source: the Alexandria database, functional PBE.

Calculated values
The value obtained for the density of states at the Fermi level is 0.211 states/eV per atom. The formation energy from the elements is -0.85 eV per atom.

Cell lengths 4.471, 6.319, 13.413 Å; angles 90.00, 90.00, 90.00 degrees
Space group Immm (No. 71)
Asymmetric unit:
Tb (0.000, 0.000, 0.167) [4 per cell]
Tm (0.000, 0.000, 0.500) [2 per cell]
Bi (0.000, 0.500, 0.164) [4 per cell]
Bi (0.000, 0.500, 0.500) [2 per cell]

(2)
A relaxed AlNi2As2 crystal. Source: the Alexandria database, functional PBE.

Calculated values
The value obtained for the density of states at the Fermi level is 0.466 states/eV per atom. The formation energy from the elements is -0.06 eV per atom.

Cell lengths 6.550, 6.550, 3.424 Å; angles 90.00, 90.00, 90.00 degrees
Space group P4/mbm (No. 127)
Asymmetric unit:
Al (0.000, 0.000, 0.000) [2 per cell]
Ni (0.136, 0.364, 0.000) [4 per cell]
As (0.168, 0.668, 0.500) [4 per cell]

(3)
A relaxed Li2CaPb crystal. Source: the Alexandria database, functional PBE.

Calculated values
The value obtained for the density of states at the Fermi level is 0.357 states/eV per atom. The formation energy from the elements is -0.28 eV per atom.

Cell lengths 10.056, 3.669, 5.586 Å; angles 90.00, 102.54, 90.00 degrees
Space group C2/m (No. 12)
Asymmetric unit:
Li (0.235, 0.000, 0.193) [4 per cell]
Ca (0.000, 0.000, 0.500) [2 per cell]
Pb (0.000, 0.500, 0.000) [2 per cell]

(4)
A relaxed Tb2CeAs crystal. Source: the Alexandria database, functional PBE.

Calculated values
The value obtained for the density of states at the Fermi level is 1.212 states/eV per atom. The formation energy from the elements is -0.53 eV per atom.

Cell lengths 3.735, 3.735, 7.436 Å; angles 90.00, 90.00, 90.00 degrees
Space group P4/mmm (No. 123)
Asymmetric unit:
Tb (0.000, 0.000, 0.209) [2 per cell]
Ce (0.500, 0.500, 0.500) [1 per cell]
As (0.500, 0.500, 0.000) [1 per cell]

(5)
A relaxed LaNi3P2 crystal. Source: the Alexandria database, functional PBE.

Calculated values
The value obtained for the density of states at the Fermi level is 0.787 states/eV per atom. The formation energy from the elements is -0.86 eV per atom.

Cell lengths 14.519, 3.818, 6.998 Å; angles 90.00, 114.08, 90.00 degrees
Space group C2/m (No. 12)
Asymmetric unit:
La (0.154, 0.000, 0.070) [4 per cell]
Ni (0.041, 0.000, 0.368) [4 per cell]
Ni (0.092, 0.500, 0.670) [4 per cell]
Ni (0.184, 0.500, 0.442) [4 per cell]
P (0.021, 0.500, 0.187) [4 per cell]
P (0.184, 0.000, 0.659) [4 per cell]

(6)
A relaxed TlTe3 crystal. Source: the Alexandria database, functional PBE.

Calculated values
The value obtained for the density of states at the Fermi level is 0.246 states/eV per atom. For the raw formation energy, the calculation gives -11 kJ/mol of formula units.

Cell lengths 3.742, 10.263, 7.473 Å; angles 90.00, 90.00, 90.00 degrees
Space group Imm2 (No. 44)
Asymmetric unit:
Tl (0.000, 0.000, 0.000) [2 per cell]
Te (0.000, 0.295, 0.232) [4 per cell]
Te (0.000, 0.500, 0.994) [2 per cell]